1.
CsK2PuCl6 | Alexandria via LeMat-Bulk | PBE | relaxed; formation energy (no corrections) = -1.971 eV per atom; DOS(E_F) = 0.982 states/eV/atom; space group = No. 146; size of the total moment = 5.00 μB/f.u.
1.0
7.8859 -0.0004 0.0002
3.9426 6.8280 -0.0002
3.9426 2.2759 7.0605
Cl K Pu Cs
6 2 1 1
Direct
0.9721 0.5614 0.2327
0.5612 0.2336 0.2329
0.6865 0.1585 0.7750
0.1586 0.3800 0.7750
0.2337 0.9722 0.2327
0.3801 0.6865 0.7751
0.0113 0.0114 0.9660
0.5264 0.5265 0.4207
0.3246 0.3245 0.0264
0.8071 0.8071 0.5788



2.
CsKPu2Cl8 | Alexandria via LeMat-Bulk | PBE | relaxed; formation energy (no corrections) = -1.927 eV per atom; DOS(E_F) = 1.681 states/eV/atom; space group = No. 10; size of the total moment = 10.00 μB/f.u.
1.0
7.5012 0.0837 -0.0048
0.1823 6.8877 -0.0067
0.0078 0.0122 8.6685
Pu Cs Cl K
2 1 8 1
Direct
0.5000 0.5000 0.2460
0.5000 0.5000 0.7540
0.0000 0.0000 0.5000
0.6192 0.7095 0.4999
0.3808 0.2905 0.5001
0.2009 0.7178 0.2330
0.7990 0.2821 0.2328
0.2010 0.7179 0.7672
0.7991 0.2822 0.7670
0.3697 0.2866 0.0001
0.6303 0.7134 0.9999
0.0000 0.0000 0.0000



3.
Cs2KPuCl5 | Alexandria via LeMat-Bulk | PBE | relaxed; formation energy (no corrections) = -1.864 eV per atom; DOS(E_F) = 1.849 states/eV/atom; space group = No. 36; size of the total moment = 6.00 μB/f.u.
1.0
4.4891 0.0000 0.0000
-2.2445 9.6367 0.0000
0.0000 0.0000 16.0318
Cl Pu K Cs
10 2 2 4
Direct
0.7042 0.4084 0.9165
0.2592 0.5183 0.6435
0.5078 0.0155 0.2758
0.2958 0.5916 0.4165
0.3738 0.7475 0.9924
0.4922 0.9845 0.7758
0.0848 0.1696 0.0663
0.7408 0.4817 0.1435
0.6262 0.2525 0.4924
0.9152 0.8304 0.5663
0.7712 0.5425 0.5271
0.2288 0.4575 0.0271
0.5393 0.0786 0.9521
0.4607 0.9214 0.4521
0.9192 0.8385 0.1595
0.0808 0.1615 0.6595
0.1426 0.2852 0.2908
0.8574 0.7148 0.7908



4.
CsKPuCl6 | Alexandria via LeMat-Bulk | PBE | relaxed; formation energy (no corrections) = -1.878 eV per atom; DOS(E_F) = 0.247 states/eV/atom; space group = No. 163; size of the total moment = 4.00 μB/f.u.
1.0
-2.8911 4.7806 -5.4293
-3.9010 -6.4417 1.9944
-6.8288 7.2331 10.0053
Cl Pu Cs K
12 2 2 2
Direct
0.6566 0.6023 0.1438
0.0543 0.3977 0.6438
0.6023 0.9457 0.8562
0.6023 0.6566 0.6438
0.3434 0.9457 0.6438
0.9457 0.6023 0.3562
0.6566 0.0543 0.3562
0.3434 0.3977 0.8562
0.3977 0.3434 0.3562
0.3977 0.0543 0.1438
0.9457 0.3434 0.1438
0.0543 0.6566 0.8562
0.3333 0.6667 0.7500
0.6667 0.3333 0.2500
0.0000 0.0000 0.0000
0.0000 0.0000 0.5000
0.3333 0.6667 0.2500
0.6667 0.3333 0.7500



5.
Cs2KRb6Cl | Alexandria via LeMat-Bulk | PBE | relaxed; formation energy (no corrections) = -0.308 eV per atom; DOS(E_F) = 0.942 states/eV/atom; space group = No. 8; size of the total moment = 0.00 μB/f.u.
1.0
10.8106 0.0363 -0.0334
0.0363 10.8101 -0.0346
-5.4588 -5.4586 7.6188
Cl Rb Cs K
1 6 2 1
Direct
0.9985 0.9990 0.9972
0.7749 0.7753 0.5541
0.7799 0.2228 0.0017
0.2223 0.2228 0.4398
0.7774 0.7779 0.9977
0.2243 0.2247 0.0063
0.2222 0.7803 0.0018
0.7549 0.2485 0.5026
0.2481 0.7555 0.5026
0.4966 0.4972 0.9942



6.
Cs2KRbCl | Alexandria via LeMat-Bulk | PBE | relaxed; formation energy (no corrections) = -0.738 eV per atom; DOS(E_F) = 0.607 states/eV/atom; space group = No. 123; size of the total moment = 0.00 μB/f.u.
1.0
7.1489 0.0000 0.0000
0.0000 7.1489 0.0000
0.0000 0.0000 6.9109
Cl K Cs Rb
1 1 2 1
Direct
0.0000 0.0000 0.0000
0.5000 0.5000 0.5000
0.5000 0.0000 0.0000
0.0000 0.5000 0.0000
0.0000 0.0000 0.5000



7.
Cs4K3RbCl8 | Alexandria via LeMat-Bulk | PBE | relaxed; formation energy (no corrections) = -1.948 eV per atom; DOS(E_F) = 0.000 states/eV/atom; space group = No. 166; size of the total moment = 0.16 μB/f.u.
1.0
-9.0712 2.0376 2.2209
0.3208 -6.3614 7.1466
6.4966 6.9978 -0.4558
K Cl Cs Rb
3 8 4 1
Direct
0.5000 0.5000 0.0000
0.0000 0.5000 0.5000
0.5000 0.5000 0.5000
0.7416 0.7251 0.4832
0.7547 0.2728 0.5095
0.2631 0.2726 0.0178
0.2453 0.7274 0.9822
0.7369 0.7274 0.9822
0.2584 0.2749 0.5168
0.7547 0.2726 0.0178
0.2453 0.7272 0.4905
0.0000 0.0000 0.5000
0.5000 0.0000 0.0000
0.5000 0.0000 0.5000
0.0000 0.0000 0.0000
0.0000 0.5000 0.0000



8.
Cs2KRbCl | Alexandria via LeMat-Bulk | PBE | relaxed; formation energy (no corrections) = -0.718 eV per atom; DOS(E_F) = 0.604 states/eV/atom; space group = No. 123; size of the total moment = 0.00 μB/f.u.
1.0
7.2433 0.0000 0.0000
0.0000 7.2433 0.0000
0.0000 0.0000 6.7192
Cl K Cs Rb
1 1 2 1
Direct
0.0000 0.0000 0.0000
0.0000 0.0000 0.5000
0.0000 0.5000 0.0000
0.5000 0.0000 0.0000
0.5000 0.5000 0.5000



9.
CsK2RbCl4 | Alexandria via LeMat-Bulk | PBE | relaxed; formation energy (no corrections) = -1.945 eV per atom; DOS(E_F) = 0.000 states/eV/atom; space group = No. 10; size of the total moment = 0.05 μB/f.u.
1.0
4.6862 0.0000 0.0000
0.0000 8.1265 -0.1666
0.0000 2.8539 7.5962
Cl K Cs Rb
4 2 1 1
Direct
0.5000 0.7658 0.2504
0.5000 0.2342 0.7496
0.0000 0.7725 0.7360
0.0000 0.2275 0.2640
0.5000 0.0000 0.5000
0.0000 0.0000 0.0000
0.5000 0.5000 0.0000
0.0000 0.5000 0.5000



10.
Cs3KRb4Cl8 | Alexandria via LeMat-Bulk | PBE | relaxed; formation energy (no corrections) = -1.945 eV per atom; DOS(E_F) = 0.000 states/eV/atom; space group = No. 166; size of the total moment = 0.32 μB/f.u.
1.0
-6.5810 -6.9804 -0.8008
5.5295 -5.8222 5.3081
-2.5390 8.6426 3.3960
Cl Cs K Rb
8 3 1 4
Direct
0.2450 0.2346 0.4900
0.7630 0.7550 0.0090
0.2463 0.7552 0.4927
0.2370 0.2450 0.9910
0.7540 0.2450 0.9910
0.7550 0.7654 0.5100
0.2460 0.7550 0.0090
0.7537 0.2448 0.5073
0.0000 0.5000 0.5000
0.5000 0.5000 0.0000
0.5000 0.5000 0.5000
0.0000 0.5000 0.0000
0.0000 0.0000 0.0000
0.0000 0.0000 0.5000
0.5000 0.0000 0.5000
0.5000 0.0000 0.0000



11.
CsKRb2Cl4 | Alexandria via LeMat-Bulk | PBE | relaxed; formation energy (no corrections) = -1.941 eV per atom; DOS(E_F) = 0.000 states/eV/atom; space group = No. 10; size of the total moment = 0.21 μB/f.u.
1.0
-0.1805 4.7530 -0.0010
-3.5506 -0.1363 -7.4110
-8.1701 -0.3100 0.9074
Rb Cl K Cs
2 4 1 1
Direct
0.0000 0.0000 0.0000
0.5000 0.0000 0.5000
0.5000 0.2527 0.7388
0.5000 0.7473 0.2612
0.0000 0.2449 0.2646
0.0000 0.7551 0.7354
0.0000 0.5000 0.5000
0.5000 0.5000 0.0000



12.
Cs3K2RbCl6 | Alexandria via LeMat-Bulk | PBE | relaxed; formation energy (no corrections) = -1.948 eV per atom; DOS(E_F) = 0.000 states/eV/atom; space group = No. 12; size of the total moment = 0.08 μB/f.u.
1.0
-4.7406 -5.6622 3.7808
6.5194 -2.4070 -4.5312
3.9741 3.1058 6.5998
Rb Cl Cs K
1 6 3 2
Direct
0.0000 0.0000 0.0000
0.7353 0.7353 0.2276
0.2647 0.2647 0.7724
0.9241 0.5834 0.7723
0.5834 0.9241 0.7723
0.0759 0.4166 0.2277
0.4166 0.0759 0.2277
0.1656 0.8344 0.5000
0.5000 0.5000 0.5000
0.8344 0.1656 0.5000
0.6668 0.3332 0.0000
0.3332 0.6668 0.0000



13.
CsK2ReCl8 | Alexandria via LeMat-Bulk | PBE | relaxed; formation energy (no corrections) = -1.242 eV per atom; DOS(E_F) = 0.871 states/eV/atom; space group = No. 2; size of the total moment = 1.97 μB/f.u.
1.0
-2.2745 -4.1592 3.8772
2.6363 -3.4279 -5.5554
8.8882 -0.5872 4.5500
K Cl Re Cs
2 8 1 1
Direct
0.5018 0.4986 0.7456
0.4982 0.5014 0.2544
0.9295 0.2088 0.1663
0.0690 0.7899 0.1669
0.4189 0.7260 0.5006
0.5811 0.2740 0.4994
0.0705 0.7912 0.8337
0.6123 0.8082 0.9991
0.3877 0.1918 0.0009
0.9310 0.2101 0.8331
0.0000 0.0000 0.0000
0.0000 0.0000 0.5000



14.
CsK2RhCl6 | Alexandria via LeMat-Bulk | PBE | relaxed; formation energy (no corrections) = -1.415 eV per atom; DOS(E_F) = 0.000 states/eV/atom; space group = No. 59; size of the total moment = 0.00 μB/f.u.
1.0
7.0349 0.0000 0.0000
0.0000 9.1491 0.0000
0.0000 0.0000 10.9072
Cl Rh K Cs
12 2 4 2
Direct
0.7675 0.0189 0.0000
0.2587 0.3509 0.5000
0.7325 0.9811 0.5000
0.5000 0.1735 0.2823
0.5000 0.1735 0.7177
0.0000 0.8265 0.2177
0.7413 0.3509 0.5000
0.7587 0.6491 0.0000
0.2413 0.6491 0.0000
0.2675 0.9811 0.5000
0.0000 0.8265 0.7823
0.2325 0.0189 0.0000
0.5000 0.1701 0.5000
0.0000 0.8299 0.0000
0.5000 0.8483 0.8081
0.0000 0.1517 0.3081
0.0000 0.1517 0.6919
0.5000 0.8483 0.1919
0.5000 0.3382 0.0000
0.0000 0.6618 0.5000



15.
CsK2RhCl8 | Alexandria via LeMat-Bulk | PBE | relaxed; formation energy (no corrections) = -1.182 eV per atom; DOS(E_F) = 0.751 states/eV/atom; space group = No. 2; size of the total moment = 1.10 μB/f.u.
1.0
-0.6260 -0.8526 6.7700
5.6444 -0.4576 0.4469
3.2548 8.7184 1.3847
Cl Cs K Rh
8 1 2 1
Direct
0.2418 0.8266 0.8852
0.7559 0.8264 0.8860
0.9999 0.3397 0.7881
0.5001 0.2482 0.4969
0.7582 0.1734 0.1148
0.4999 0.7518 0.5031
0.0001 0.6603 0.2119
0.2441 0.1736 0.1140
0.0000 0.0000 0.5000
0.5009 0.3397 0.8113
0.4991 0.6603 0.1887
0.0000 0.0000 0.0000



16.
CsK2RuCl8 | Alexandria via LeMat-Bulk | PBE | relaxed; formation energy (no corrections) = -1.196 eV per atom; DOS(E_F) = 0.651 states/eV/atom; space group = No. 10; size of the total moment = 2.42 μB/f.u.
1.0
6.8464 -0.0070 -0.0192
0.0056 5.7677 0.8537
0.0281 1.4184 9.3225
K Ru Cl Cs
2 1 8 1
Direct
0.5001 0.3393 0.8063
0.4999 0.6607 0.1937
0.0000 0.0000 0.0000
0.2427 0.1724 0.1121
0.5000 0.7523 0.5039
0.5000 0.2477 0.4961
0.0002 0.3348 0.7868
0.9998 0.6652 0.2132
0.2430 0.8278 0.8881
0.7573 0.8276 0.8879
0.7570 0.1722 0.1119
0.0000 0.0000 0.5000



17.
CsKSCl | Alexandria via LeMat-Bulk | PBE | relaxed; formation energy (no corrections) = -1.056 eV per atom; DOS(E_F) = 2.169 states/eV/atom; space group = No. 216; size of the total moment = 1.00 μB/f.u.
1.0
5.7791 0.0000 0.0000
2.8895 5.0048 0.0000
2.8895 1.6683 4.7186
K S Cl Cs
1 1 1 1
Direct
0.7500 0.7500 0.7500
0.0000 0.0000 0.0000
0.5000 0.5000 0.5000
0.2500 0.2500 0.2500



18.
CsKSCl2 | Alexandria via LeMat-Bulk | PBE | relaxed; formation energy (no corrections) = -0.824 eV per atom; DOS(E_F) = 1.158 states/eV/atom; space group = No. 123; size of the total moment = 2.05 μB/f.u.
1.0
-1.5974 -5.7557 -0.6196
-0.0685 -0.6239 5.9724
-5.6771 1.5649 0.0983
S K Cs Cl
1 1 1 2
Direct
0.0000 0.0000 0.5000
0.0000 0.0000 0.0000
0.5000 0.5000 0.5000
0.5000 0.0000 0.0000
0.0000 0.5000 0.0000



19.
CsKSCl2 | Alexandria via LeMat-Bulk | PBE | relaxed; formation energy (no corrections) = -0.618 eV per atom; DOS(E_F) = 1.684 states/eV/atom; space group = No. 123; size of the total moment = 1.04 μB/f.u.
1.0
6.3910 0.0000 0.0000
0.0000 6.3910 0.0000
0.0000 0.0000 5.6810
K S Cl Cs
1 1 2 1
Direct
0.5000 0.5000 0.5000
0.0000 0.0000 0.5000
0.0000 0.5000 0.0000
0.5000 0.0000 0.0000
0.0000 0.0000 0.0000



20.
CsK2SbCl6 | Alexandria via LeMat-Bulk | PBE | relaxed; formation energy (no corrections) = -1.436 eV per atom; DOS(E_F) = 0.000 states/eV/atom; space group = No. 225; size of the total moment = 0.00 μB/f.u.
1.0
0.0000 5.8996 5.8996
5.8996 0.0000 5.8996
5.8996 5.8996 0.0000
Cl Sb K Cs
6 1 2 1
Direct
0.2255 0.2255 0.7745
0.7745 0.2255 0.7745
0.2255 0.7745 0.2255
0.7745 0.7745 0.2255
0.2255 0.7745 0.7745
0.7745 0.2255 0.2255
0.0000 0.0000 0.0000
0.7500 0.7500 0.7500
0.2500 0.2500 0.2500
0.5000 0.5000 0.5000